# Sc2W | Alexandria | PBE | optimized geometry
data_Sc2W
_space_group_name_H-M_alt 'I 41/a m d'
_space_group_IT_number 141
_cell_length_a 2.8907
_cell_length_b 2.8907
_cell_length_c 29.7958
_cell_angle_alpha 90.00
_cell_angle_beta 90.00
_cell_angle_gamma 90.00
loop_
_space_group_symop_operation_xyz
'x,y,z'
'-x,-y,-z'
'-y+1/4,x+3/4,z+1/4'
'y+1/4,-x+3/4,-z+1/4'
'-x+1/2,-y,z+1/2'
'x+1/2,y,-z+1/2'
'y+1/4,-x+1/4,z+3/4'
'-y+1/4,x+1/4,-z+3/4'
'x,-y,-z'
'-x,y,z'
'-y+1/4,-x+1/4,-z+3/4'
'y+1/4,x+1/4,z+3/4'
'-x+1/2,y,-z+1/2'
'x+1/2,-y,z+1/2'
'y+1/4,x+3/4,-z+1/4'
'-y+1/4,-x+3/4,z+1/4'
'x+1/2,y+1/2,z+1/2'
'-x+1/2,-y+1/2,-z+1/2'
'-y+3/4,x+1/4,z+3/4'
'y+3/4,-x+1/4,-z+3/4'
'-x,-y+1/2,z'
'x,y+1/2,-z'
'y+3/4,-x+3/4,z+1/4'
'-y+3/4,x+3/4,-z+1/4'
'x+1/2,-y+1/2,-z+1/2'
'-x+1/2,y+1/2,z+1/2'
'-y+3/4,-x+3/4,-z+1/4'
'y+3/4,x+3/4,z+1/4'
'-x,y+1/2,-z'
'x,-y+1/2,z'
'y+3/4,x+1/4,-z+3/4'
'-y+3/4,-x+1/4,z+3/4'
loop_
_atom_site_label
_atom_site_fract_x
_atom_site_fract_y
_atom_site_fract_z
_atom_site_occupancy
Sc1 0.0000 0.2500 0.3019 1
W1 0.0000 0.2500 0.8750 1
# Calculated volume in Å³/atom: 20.748
# Energy relative to the lowest polymorph listed for this composition in eV per atom: 0.1800
# Formation enthalpy at 0 K in eV/atom: 0.293